Record 1
! Tm2PuAg PBE optimized geometry; values from VASP
! Polymorph energy (0 for the lowest one): 0 meV per atom
! Energy relative to the elements: -0.06 eV/atom
&SYSTEM
  ibrav = 0, nat = 4, ntyp = 3
/
ATOMIC_SPECIES
Tm 168.93 Tm.upf
Ag 107.87 Ag.upf
Pu 244.00 Pu.upf
ATOMIC_POSITIONS angstrom
Tm 1.757 -0.486 0.415
Ag -0.748 -0.826 2.197
Pu 3.285 -1.942 3.150
Tm 6.309 -1.745 1.491
CELL_PARAMETERS angstrom
-0.360 1.405 3.168
-1.135 -3.057 1.226
8.066 -2.231 1.906


Record 2
! TmPuAg PBE optimized geometry; values from VASP
! Polymorph energy (0 for the lowest one): 20 meV per atom
! Energy relative to the elements: 0.01 eV/atom
&SYSTEM
  ibrav = 0, nat = 3, ntyp = 3
/
ATOMIC_SPECIES
Ag 107.87 Ag.upf
Pu 244.00 Pu.upf
Tm 168.93 Tm.upf
ATOMIC_POSITIONS angstrom
Ag 1.689 1.689 2.343
Pu 0.000 0.000 0.135
Tm 0.000 0.000 4.262
CELL_PARAMETERS angstrom
3.378 0.000 0.000
0.000 3.378 0.000
-1.689 -1.689 6.740


Record 3
! Tm2PuAg PBE optimized geometry; values from VASP
! Polymorph energy (0 for the lowest one): 89 meV per atom
! Energy relative to the elements: 0.03 eV/atom
&SYSTEM
  ibrav = 0, nat = 4, ntyp = 3
/
ATOMIC_SPECIES
Ag 107.87 Ag.upf
Tm 168.93 Tm.upf
Pu 244.00 Pu.upf
ATOMIC_POSITIONS angstrom
Ag 1.765 0.000 0.000
Tm 0.000 0.000 2.673
Pu 1.765 2.673 2.673
Tm 0.000 2.673 0.000
CELL_PARAMETERS angstrom
3.530 0.000 0.000
0.000 5.345 0.000
0.000 0.000 5.345


Record 4
! TmPuAg2 PBE optimized geometry; values from VASP
! Polymorph energy (0 for the lowest one): 0 meV per atom
! Energy relative to the elements: -0.11 eV/atom
&SYSTEM
  ibrav = 0, nat = 4, ntyp = 3
/
ATOMIC_SPECIES
Ag 107.87 Ag.upf
Tm 168.93 Tm.upf
Pu 244.00 Pu.upf
ATOMIC_POSITIONS angstrom
Ag 0.559 -1.948 -0.459
Tm -0.886 -4.449 0.503
Ag 1.497 -5.219 -1.229
Pu -1.914 -0.866 1.347
CELL_PARAMETERS angstrom
-0.460 -0.926 3.374
-3.368 -0.805 -0.680
2.055 -7.167 -1.688


Record 5
! TmPuAg2 PBE optimized geometry; values from VASP
! Polymorph energy (0 for the lowest one): 207 meV per atom
! Energy relative to the elements: 0.09 eV/atom
&SYSTEM
  ibrav = 0, nat = 4, ntyp = 3
/
ATOMIC_SPECIES
Pu 244.00 Pu.upf
Ag 107.87 Ag.upf
Tm 168.93 Tm.upf
ATOMIC_POSITIONS angstrom
Pu 3.326 1.920 5.003
Ag 4.988 2.880 7.616
Tm 0.000 0.000 0.000
Ag 1.663 0.960 2.389
CELL_PARAMETERS angstrom
3.326 0.000 0.000
1.663 2.880 0.000
1.663 0.960 10.006


Record 6
! PuUAg4 PBE optimized geometry; values from VASP
! Energy relative to the elements: 0.31 eV/atom
&SYSTEM
  ibrav = 0, nat = 6, ntyp = 3
/
ATOMIC_SPECIES
Ag 107.87 Ag.upf
Pu 244.00 Pu.upf
U 238.03 U.upf
ATOMIC_POSITIONS angstrom
Ag -4.822 -1.383 -7.116
Ag -2.344 -0.376 -6.150
Ag -3.551 -2.624 -4.894
Pu -1.929 -0.553 -2.846
U 0.000 0.000 0.000
Ag -4.712 -0.044 -4.610
CELL_PARAMETERS angstrom
-2.541 2.481 -4.442
-0.220 -2.679 -5.011
-4.954 -2.015 -1.932